Here is a relaxed K2FeSF crystal from Alexandria. Energies are from PBE with a Hubbard U.

Calculated values
Size of the total moment   0.6 μB per formula unit
Total energy   -2.44 eV per atom
Space group   P4/mmm (123)

Lattice parameters (Å, degrees): 6.104 4.551 6.104 90.00 90.00 90.00
Each line ends with the local moment (μB).
Fractional coordinates of all 5 atoms:
1 S 0.000 0.000 0.000  0.09
2 K 0.000 0.000 0.500  0.00
3 K 0.500 0.000 0.000  0.00
4 Fe 0.500 0.500 0.500  0.36
5 F 0.000 0.500 0.000  0.02